[1]
{
  "formula": "In2AgAu",
  "functional": "PBE-GGA",
  "state": "optimized geometry",
  "magmom_total_mub_per_fu": 0.00,
  "dos_at_fermi_per_ev_cell": 2.95,
  "total_energy_ev_per_atom": -2.94,
  "space_group": "C2/m, No. 12",
  "lattice_angstrom": [[6.0546, 0.0000, 0.0000], [0.0000, 7.5619, 0.0000], [-0.0544, 0.0000, 3.7207]],
  "species": ["In", "In", "In", "In", "Ag", "Ag", "Au", "Au"],
  "frac_coords": [[0.2500, 0.2500, 0.0000], [0.2500, 0.7500, 0.0000], [0.7500, 0.2500, 0.0000], [0.7500, 0.7500, 0.0000], [0.0000, 0.0000, 0.5000], [0.5000, 0.5000, 0.5000], [0.0000, 0.5000, 0.5000], [0.5000, 0.0000, 0.5000]]
}



[2]
{
  "formula": "InAgAu3",
  "functional": "PBE-GGA",
  "state": "optimized geometry",
  "magmom_total_mub_per_fu": 0.00,
  "dos_at_fermi_per_ev_cell": 1.40,
  "total_energy_ev_per_atom": -2.57,
  "e_above_lowest_polymorph_mev_per_atom": 596.5,
  "space_group": "Pm-3m, No. 221",
  "lattice_angstrom": [[5.1596, 0.0000, 0.0000], [0.0000, 5.1596, 0.0000], [0.0000, 0.0000, 5.1596]],
  "species": ["In", "Ag", "Au", "Au", "Au"],
  "frac_coords": [[0.0000, 0.0000, 0.0000], [0.5000, 0.5000, 0.5000], [0.0000, 0.5000, 0.5000], [0.5000, 0.0000, 0.5000], [0.5000, 0.5000, 0.0000]]
}



[3]
{
  "formula": "InAgAu2",
  "functional": "PBE-GGA",
  "state": "optimized geometry",
  "magmom_total_mub_per_fu": 0.00,
  "dos_at_fermi_per_ev_cell": 5.86,
  "total_energy_ev_per_atom": -3.02,
  "space_group": "I-42d, No. 122",
  "lattice_angstrom": [[7.7114, 0.0000, 0.0000], [0.0000, 7.7114, 0.0000], [0.0000, 0.0000, 5.6112]],
  "species": ["In", "In", "In", "In", "Ag", "Ag", "Ag", "Ag", "Au", "Au", "Au", "Au", "Au", "Au", "Au", "Au"],
  "frac_coords": [[0.0000, 0.0000, 0.0000], [0.0000, 0.5000, 0.2500], [0.5000, 0.0000, 0.7500], [0.5000, 0.5000, 0.5000], [0.0000, 0.0000, 0.5000], [0.0000, 0.5000, 0.7500], [0.5000, 0.0000, 0.2500], [0.5000, 0.5000, 0.0000], [0.2496, 0.2500, 0.1250], [0.2504, 0.2500, 0.6250], [0.2500, 0.7496, 0.3750], [0.2500, 0.7504, 0.8750], [0.7500, 0.2504, 0.3750], [0.7500, 0.2496, 0.8750], [0.7504, 0.7500, 0.1250], [0.7496, 0.7500, 0.6250]]
}



[4]
{
  "formula": "In3AgAu6",
  "functional": "PBE-GGA",
  "state": "optimized geometry",
  "magmom_total_mub_per_fu": 0.00,
  "dos_at_fermi_per_ev_cell": 5.38,
  "total_energy_ev_per_atom": -3.20,
  "e_above_lowest_polymorph_mev_per_atom": 0.0,
  "space_group": "P2_1/m, No. 11",
  "lattice_angstrom": [[8.5560, 0.0000, 0.0000], [0.0000, 4.7553, 0.0000], [-2.0172, 0.0000, 10.2146]],
  "species": ["In", "In", "In", "In", "In", "In", "Ag", "Ag", "Au", "Au", "Au", "Au", "Au", "Au", "Au", "Au", "Au", "Au", "Au", "Au"],
  "frac_coords": [[0.0240, 0.2500, 0.1670], [0.3424, 0.2500, 0.0325], [0.3628, 0.7500, 0.3894], [0.6372, 0.2500, 0.6106], [0.6576, 0.7500, 0.9675], [0.9760, 0.7500, 0.8330], [0.1496, 0.7500, 0.6000], [0.8504, 0.2500, 0.4000], [0.0115, 0.7500, 0.3215], [0.1726, 0.7500, 0.0997], [0.2000, 0.2500, 0.4485], [0.3200, 0.7500, 0.8790], [0.3339, 0.2500, 0.7270], [0.4926, 0.2500, 0.3205], [0.5074, 0.7500, 0.6795], [0.6661, 0.7500, 0.2730], [0.6800, 0.2500, 0.1210], [0.8000, 0.7500, 0.5515], [0.8274, 0.2500, 0.9003], [0.9885, 0.2500, 0.6785]]
}



[5]
{
  "formula": "InAg2Au2",
  "functional": "PBE-GGA",
  "state": "optimized geometry",
  "magmom_total_mub_per_fu": 0.00,
  "dos_at_fermi_per_ev_cell": 3.40,
  "total_energy_ev_per_atom": -3.04,
  "e_above_lowest_polymorph_mev_per_atom": 70.9,
  "space_group": "P4/mbm, No. 127",
  "lattice_angstrom": [[7.3646, 0.0000, 0.0000], [0.0000, 7.3646, 0.0000], [0.0000, 0.0000, 3.7014]],
  "species": ["In", "In", "Ag", "Ag", "Ag", "Ag", "Au", "Au", "Au", "Au"],
  "frac_coords": [[0.0000, 0.0000, 0.0000], [0.5000, 0.5000, 0.0000], [0.1580, 0.3420, 0.5000], [0.3420, 0.8420, 0.5000], [0.6580, 0.1580, 0.5000], [0.8420, 0.6580, 0.5000], [0.1396, 0.6396, 0.0000], [0.3604, 0.1396, 0.0000], [0.6396, 0.8604, 0.0000], [0.8604, 0.3604, 0.0000]]
}



[6]
{
  "formula": "In12Ag5Au3",
  "functional": "PBE-GGA",
  "state": "optimized geometry",
  "magmom_total_mub_per_fu": 0.00,
  "dos_at_fermi_per_ev_cell": 37.01,
  "total_energy_ev_per_atom": -2.76,
  "space_group": "Ia-3d, No. 230",
  "lattice_angstrom": [[-8.2163, 8.2163, 8.2163], [8.2163, -8.2163, 8.2163], [8.2163, 8.2163, -8.2163]],
  "species": ["In", "In", "In", "In", "In", "In", "In", "In", "In", "In", "In", "In", "In", "In", "In", "In", "In", "In", "In", "In", "In", "In", "In", "In", "In", "In", "In", "In", "In", "In", "In", "In", "In", "In", "In", "In", "In", "In", "In", "In", "In", "In", "In", "In", "In", "In", "In", "In", "Ag", "Ag", "Ag", "Ag", "Ag", "Ag", "Ag", "Ag", "Ag", "Ag", "Ag", "Ag", "Ag", "Ag", "Ag", "Ag", "Ag", "Ag", "Ag", "Ag", "Au", "Au", "Au", "Au", "Au", "Au", "Au", "Au", "Au", "Au", "Au", "Au"],
  "frac_coords": [[0.0618, 0.2289, 0.1350], [0.0618, 0.3329, 0.9268], [0.0732, 0.6350, 0.4060], [0.0732, 0.9382, 0.6671], [0.0940, 0.7289, 0.6671], [0.0940, 0.8650, 0.4268], [0.1350, 0.0618, 0.2289], [0.1350, 0.5732, 0.9060], [0.1671, 0.2289, 0.5940], [0.1671, 0.4382, 0.5732], [0.2289, 0.1350, 0.0618], [0.2289, 0.5940, 0.1671], [0.2711, 0.3329, 0.9060], [0.2711, 0.4382, 0.3650], [0.3329, 0.9060, 0.2711], [0.3329, 0.9268, 0.0618], [0.3650, 0.2711, 0.4382], [0.3650, 0.5940, 0.9268], [0.4060, 0.0732, 0.6350], [0.4060, 0.8329, 0.7711], [0.4268, 0.0940, 0.8650], [0.4268, 0.8329, 0.5618], [0.4382, 0.3650, 0.2711], [0.4382, 0.5732, 0.1671], [0.5618, 0.4268, 0.8329], [0.5618, 0.6350, 0.7289], [0.5732, 0.1671, 0.4382], [0.5732, 0.9060, 0.1350], [0.5940, 0.1671, 0.2289], [0.5940, 0.9268, 0.3650], [0.6350, 0.4060, 0.0732], [0.6350, 0.7289, 0.5618], [0.6671, 0.0732, 0.9382], [0.6671, 0.0940, 0.7289], [0.7289, 0.5618, 0.6350], [0.7289, 0.6671, 0.0940], [0.7711, 0.4060, 0.8329], [0.7711, 0.8650, 0.9382], [0.8329, 0.5618, 0.4268], [0.8329, 0.7711, 0.4060], [0.8650, 0.4268, 0.0940], [0.8650, 0.9382, 0.7711], [0.9060, 0.1350, 0.5732], [0.9060, 0.2711, 0.3329], [0.9268, 0.0618, 0.3329], [0.9268, 0.3650, 0.5940], [0.9382, 0.6671, 0.0732], [0.9382, 0.7711, 0.8650], [0.0000, 0.0000, 0.0000], [0.0000, 0.0000, 0.5000], [0.0000, 0.5000, 0.0000], [0.0000, 0.5000, 0.5000], [0.1250, 0.7500, 0.8750], [0.1250, 0.8750, 0.2500], [0.2500, 0.1250, 0.8750], [0.2500, 0.6250, 0.3750], [0.3750, 0.2500, 0.6250], [0.3750, 0.6250, 0.7500], [0.5000, 0.0000, 0.0000], [0.5000, 0.0000, 0.5000], [0.5000, 0.5000, 0.0000], [0.5000, 0.5000, 0.5000], [0.6250, 0.3750, 0.2500], [0.6250, 0.7500, 0.3750], [0.7500, 0.3750, 0.6250], [0.7500, 0.8750, 0.1250], [0.8750, 0.1250, 0.7500], [0.8750, 0.2500, 0.1250], [0.1250, 0.2500, 0.3750], [0.1250, 0.3750, 0.7500], [0.2500, 0.3750, 0.1250], [0.2500, 0.8750, 0.6250], [0.3750, 0.1250, 0.2500], [0.3750, 0.7500, 0.1250], [0.6250, 0.2500, 0.8750], [0.6250, 0.8750, 0.7500], [0.7500, 0.1250, 0.3750], [0.7500, 0.6250, 0.8750], [0.8750, 0.6250, 0.2500], [0.8750, 0.7500, 0.6250]]
}



[7]
{
  "formula": "In2Ag3Au9",
  "functional": "PBE-GGA",
  "state": "optimized geometry",
  "magmom_total_mub_per_fu": 0.00,
  "dos_at_fermi_per_ev_cell": 4.11,
  "total_energy_ev_per_atom": -3.08,
  "space_group": "P-1, No. 2",
  "lattice_angstrom": [[5.4577, 0.0000, 0.0000], [0.3821, 7.7259, 0.0000], [0.5174, 3.4559, 6.9998]],
  "species": ["In", "In", "Ag", "Ag", "Ag", "Au", "Au", "Au", "Au", "Au", "Au", "Au", "Au", "Au"],
  "frac_coords": [[0.9999, 0.1829, 0.3147], [0.0001, 0.8171, 0.6853], [0.2761, 0.2116, 0.7130], [0.5000, 0.5000, 0.0000], [0.7239, 0.7884, 0.2870], [0.1382, 0.8348, 0.0071], [0.1436, 0.5050, 0.3395], [0.3705, 0.6066, 0.6074], [0.3722, 0.1042, 0.1068], [0.5000, 0.0000, 0.5000], [0.6278, 0.8958, 0.8932], [0.6295, 0.3934, 0.3926], [0.8564, 0.4950, 0.6605], [0.8618, 0.1652, 0.9929]]
}



[8]
{
  "formula": "In2Ag3Au3",
  "functional": "PBE-GGA",
  "state": "optimized geometry",
  "magmom_total_mub_per_fu": 0.00,
  "dos_at_fermi_per_ev_cell": 2.38,
  "total_energy_ev_per_atom": -3.08,
  "e_above_lowest_polymorph_mev_per_atom": 0.0,
  "space_group": "Pmmm, No. 47",
  "lattice_angstrom": [[4.2885, 0.0000, 0.0000], [0.0000, 4.2992, 0.0000], [0.0000, 0.0000, 8.2108]],
  "species": ["In", "In", "Ag", "Ag", "Ag", "Au", "Au", "Au"],
  "frac_coords": [[0.0000, 0.0000, 0.2483], [0.0000, 0.0000, 0.7517], [0.0000, 0.5000, 0.5000], [0.5000, 0.5000, 0.2514], [0.5000, 0.5000, 0.7486], [0.0000, 0.5000, 0.0000], [0.5000, 0.0000, 0.0000], [0.5000, 0.0000, 0.5000]]
}



no.,energy relative to the elements (eV per atom)
1,-0.041
2,0.514
3,0.015
4,-0.125
5,-0.037
6,0.086
7,0.032
8,-0.096